No. 1
Tl2ReCl7 | PBE-GGA | relaxed

Properties
As for the total energy: -3.689 eV/atom. As for the energy relative to the elements, uncorrected: -0.68 eV/atom. The magnetization is 7.85 μB per cell. Its calculated density is 4.6 g/cm3. As for the volume: 1220 Å³ per cell.

Geometry as CIF:
```
data_Tl2ReCl7
_chemical_formula_sum 'Tl8 Re4 Cl28'
_cell_length_a 16.766
_cell_length_b 7.721
_cell_length_c 11.941
_cell_angle_alpha 90.00
_cell_angle_beta 127.88
_cell_angle_gamma 90.00
_symmetry_space_group_name_H-M 'C 1 2/c 1'
_symmetry_Int_Tables_number 15
loop_
_symmetry_equiv_pos_as_xyz
'x,y,z'
'-x,-y,-z'
'-x,y,-z+1/2'
'x,-y,z+1/2'
'x+1/2,y+1/2,z'
'-x+1/2,-y+1/2,-z'
'-x+1/2,y+1/2,-z+1/2'
'x+1/2,-y+1/2,z+1/2'
loop_
_atom_site_label
_atom_site_fract_x
_atom_site_fract_y
_atom_site_fract_z
_atom_site_occupancy
Tl1 0.119 0.181 0.035 1
Re1 0.000 0.275 0.250 1
Cl1 0.000 0.408 0.750 1
Cl2 0.080 0.277 0.496 1
Cl3 0.087 0.014 0.252 1
Cl4 0.160 0.368 0.309 1
```

No. 2
Er3MgCu2 | PBE-GGA | relaxed

Properties
As for the total energy: -4.113 eV/atom. Its density of states at the Fermi level is 4.78 states/eV per cell. The calculation puts the formation energy at -0.20 eV/atom. The magnetization is 0.00 μB per cell. Its calculated density is 8.0 g/cm3. As for the volume: 136 Å³ per cell.

Geometry as CIF:
```
data_Er3MgCu2
_chemical_formula_sum 'Er3 Mg1 Cu2'
_cell_length_a 3.442
_cell_length_b 3.442
_cell_length_c 11.442
_cell_angle_alpha 90.00
_cell_angle_beta 90.00
_cell_angle_gamma 90.00
_symmetry_space_group_name_H-M 'P 4/m m m'
_symmetry_Int_Tables_number 123
_symmetry_space_group_name_Hall '-P 4 2'
loop_
_atom_site_label
_atom_site_fract_x
_atom_site_fract_y
_atom_site_fract_z
_atom_site_occupancy
Er1 0.000 0.000 0.000 1
Er2 0.000 0.000 0.297 1
Mg1 0.500 0.500 0.500 1
Cu1 0.500 0.500 0.155 1
```

No. 3
MnZn2Cd | PBE-GGA | relaxed

Properties
As for the total energy: -2.951 eV/atom. Its density of states at the Fermi level is 8.49 states/eV per cell. The calculation puts the formation energy at 0.21 eV/atom. The magnetization is 10.66 μB per cell. Its calculated density is 7.4 g/cm3. As for the volume: 201 Å³ per cell.

Geometry as CIF:
```
data_MnZn2Cd
_chemical_formula_sum 'Mn3 Zn6 Cd3'
_cell_length_a 2.9113
_cell_length_b 2.9113
_cell_length_c 27.4116
_cell_angle_alpha 90.00
_cell_angle_beta 90.00
_cell_angle_gamma 120.00
_symmetry_space_group_name_H-M 'R 3 m'
_symmetry_Int_Tables_number 160
_symmetry_space_group_name_Hall 'R 3 -2"'
loop_
_atom_site_label
_atom_site_fract_x
_atom_site_fract_y
_atom_site_fract_z
_atom_site_occupancy
Mn1 0.0000 0.0000 0.0000 1
Zn1 0.0000 0.0000 0.2581 1
Zn2 0.0000 0.0000 0.5125 1
Cd1 0.0000 0.0000 0.7537 1
```

No. 4
CaTbGaSi | PBE-GGA | relaxed

Properties
As for the total energy: -4.380 eV/atom. As for the energy relative to the elements, uncorrected: -0.61 eV/atom. Its density of states at the Fermi level is 4.52 states/eV per cell. The magnetization is 0.00 μB per cell. Its calculated density is 5.1 g/cm3. As for the volume: 191 Å³ per cell.

Geometry as CIF:
```
data_CaTbGaSi
_chemical_formula_sum 'Ca2 Tb2 Ga2 Si2'
_cell_length_a 4.008
_cell_length_b 4.393
_cell_length_c 10.874
_cell_angle_alpha 90.00
_cell_angle_beta 90.00
_cell_angle_gamma 90.00
_symmetry_space_group_name_H-M 'A m m 2'
_symmetry_Int_Tables_number 38
loop_
_symmetry_equiv_pos_as_xyz
'x,y,z'
'-x,-y,z'
'-x,y,z'
'x,-y,z'
'x,y+1/2,z+1/2'
'-x,-y+1/2,z+1/2'
'-x,y+1/2,z+1/2'
'x,-y+1/2,z+1/2'
loop_
_atom_site_label
_atom_site_fract_x
_atom_site_fract_y
_atom_site_fract_z
_atom_site_occupancy
Ca1 0.000 0.000 0.000 1
Tb1 0.500 0.000 0.279 1
Ga1 0.500 0.000 0.571 1
Si1 0.000 0.000 0.717 1
```

No. 5
PuCrAs2 | PBE-GGA | relaxed

Properties
As for the total energy: -8.645 eV/atom. Its density of states at the Fermi level is 16.80 states/eV per cell. The calculation puts the formation energy at -0.33 eV/atom. The magnetization is 5.93 μB per cell. Its calculated density is 9.4 g/cm3. As for the volume: 158 Å³ per cell.

Geometry as CIF:
```
data_PuCrAs2
_chemical_formula_sum 'Pu2 Cr2 As4'
_cell_length_a 13.887
_cell_length_b 3.717
_cell_length_c 3.135
_cell_angle_alpha 90.00
_cell_angle_beta 102.71
_cell_angle_gamma 90.00
_symmetry_space_group_name_H-M 'C 1 m 1'
_symmetry_Int_Tables_number 8
loop_
_symmetry_equiv_pos_as_xyz
'x,y,z'
'x,-y,z'
'x+1/2,y+1/2,z'
'x+1/2,-y+1/2,z'
loop_
_atom_site_label
_atom_site_fract_x
_atom_site_fract_y
_atom_site_fract_z
_atom_site_occupancy
Pu1 0.000 0.000 0.000 1
Cr1 0.238 0.000 0.744 1
As1 0.168 0.500 0.179 1
As2 0.381 0.000 0.383 1
```

No. 6
PaInBi2O8 | PBE-GGA | relaxed

Properties
As for the total energy: -6.611 eV/atom. As for the energy relative to the elements, uncorrected: -1.64 eV/atom. Its density of states at the Fermi level is 1.86 states/eV per cell. The magnetization is 0.00 μB per cell. Its calculated density is 7.8 g/cm3. As for the volume: 380 Å³ per cell.

Geometry as CIF:
```
data_PaInBi2O8
_chemical_formula_sum 'Pa2 In2 Bi4 O16'
_cell_length_a 7.151
_cell_length_b 7.151
_cell_length_c 7.433
_cell_angle_alpha 90.00
_cell_angle_beta 90.00
_cell_angle_gamma 90.00
_symmetry_space_group_name_H-M 'I -4 m 2'
_symmetry_Int_Tables_number 119
_symmetry_space_group_name_Hall 'I -4 -2'
loop_
_atom_site_label
_atom_site_fract_x
_atom_site_fract_y
_atom_site_fract_z
_atom_site_occupancy
Pa1 0.000 0.000 0.000 1
In1 0.000 0.500 0.750 1
Bi1 0.000 0.000 0.500 1
Bi2 0.000 0.500 0.250 1
O1 0.000 0.191 0.715 1
O2 0.000 0.302 0.026 1
```

No. 7
Nd6P2S3Br | PBE-GGA | relaxed

Properties
As for the total energy: -6.224 eV/atom. As for the energy relative to the elements, uncorrected: -1.77 eV/atom. Its density of states at the Fermi level is 9.58 states/eV per cell. The magnetization is 0.00 μB per cell. Its calculated density is 6.1 g/cm3. As for the volume: 603 Å³ per cell.

Geometry as CIF:
```
data_Nd6P2S3Br
_chemical_formula_sum 'Nd12 P4 S6 Br2'
_cell_length_a 17.994
_cell_length_b 4.129
_cell_length_c 8.322
_cell_angle_alpha 90.00
_cell_angle_beta 102.64
_cell_angle_gamma 90.00
_symmetry_space_group_name_H-M 'C 1 2/m 1'
_symmetry_Int_Tables_number 12
loop_
_symmetry_equiv_pos_as_xyz
'x,y,z'
'-x,-y,-z'
'-x,y,-z'
'x,-y,z'
'x+1/2,y+1/2,z'
'-x+1/2,-y+1/2,-z'
'-x+1/2,y+1/2,-z'
'x+1/2,-y+1/2,z'
loop_
_atom_site_label
_atom_site_fract_x
_atom_site_fract_y
_atom_site_fract_z
_atom_site_occupancy
Nd1 0.004 0.000 0.280 1
Nd2 0.169 0.500 0.580 1
Nd3 0.178 0.500 0.098 1
P1 0.166 0.000 0.332 1
S1 0.000 0.500 0.500 1
S2 0.161 0.000 0.835 1
Br1 0.000 0.500 0.000 1
```

No. 8
KPmSc4Se8 | PBE-GGA | relaxed

Properties
As for the total energy: -5.802 eV/atom. As for the energy relative to the elements, uncorrected: -1.58 eV/atom. Its density of states at the Fermi level is 0.00 states/eV per cell. The magnetization is 0.00 μB per cell. Its calculated density is 4.1 g/cm3. As for the volume: 1211 Å³ per cell.

Geometry as CIF:
```
data_KPmSc4Se8
_chemical_formula_sum 'K3 Pm3 Sc12 Se24'
_cell_length_a 8.1406
_cell_length_b 8.1406
_cell_length_c 21.0980
_cell_angle_alpha 90.00
_cell_angle_beta 90.00
_cell_angle_gamma 120.00
_symmetry_space_group_name_H-M 'R 3 m'
_symmetry_Int_Tables_number 160
_symmetry_space_group_name_Hall 'R 3 -2"'
loop_
_atom_site_label
_atom_site_fract_x
_atom_site_fract_y
_atom_site_fract_z
_atom_site_occupancy
K1 0.0000 0.0000 0.0000 1
Pm1 0.0000 0.0000 0.3586 1
Sc1 0.0000 0.0000 0.7362 1
Sc2 0.0129 0.5064 0.8661 1
Se1 0.0000 0.0000 0.1353 1
Se2 0.0000 0.0000 0.6064 1
Se3 0.0080 0.5040 0.1185 1
Se4 0.1816 0.3631 0.9336 1
```

No. 9
TmHfPdRu | PBE-GGA | relaxed

Properties
As for the total energy: -7.916 eV/atom. Its density of states at the Fermi level is 5.30 states/eV per cell. The calculation puts the formation energy at -0.69 eV/atom. The magnetization is 0.00 μB per cell. Its calculated density is 12.4 g/cm3. As for the volume: 298 Å³ per cell.

Geometry as CIF:
```
data_TmHfPdRu
_chemical_formula_sum 'Tm4 Hf4 Pd4 Ru4'
_cell_length_a 6.682
_cell_length_b 6.682
_cell_length_c 6.682
_cell_angle_alpha 90.00
_cell_angle_beta 90.00
_cell_angle_gamma 90.00
_symmetry_space_group_name_H-M 'F -4 3 m'
_symmetry_Int_Tables_number 216
_symmetry_space_group_name_Hall 'F -4 2 3'
loop_
_atom_site_label
_atom_site_fract_x
_atom_site_fract_y
_atom_site_fract_z
_atom_site_occupancy
Tm1 0.000 0.000 0.000 1
Hf1 0.000 0.000 0.500 1
Pd1 0.250 0.250 0.250 1
Ru1 0.250 0.250 0.750 1
```

No. 10
La3DyY6Ho2 | PBE-GGA | relaxed

Properties
As for the total energy: -5.589 eV/atom. Its density of states at the Fermi level is 34.96 states/eV per cell. The calculation puts the formation energy at 0.02 eV/atom. The magnetization is 0.00 μB per cell. Its calculated density is 6.0 g/cm3. As for the volume: 793 Å³ per cell.

Geometry as CIF:
```
data_La3DyY6Ho2
_chemical_formula_sum 'La6 Dy2 Y12 Ho4'
_cell_length_a 6.252
_cell_length_b 10.830
_cell_length_c 11.904
_cell_angle_alpha 90.00
_cell_angle_beta 100.08
_cell_angle_gamma 90.00
_symmetry_space_group_name_H-M 'C 1 2/m 1'
_symmetry_Int_Tables_number 12
loop_
_symmetry_equiv_pos_as_xyz
'x,y,z'
'-x,-y,-z'
'-x,y,-z'
'x,-y,z'
'x+1/2,y+1/2,z'
'-x+1/2,-y+1/2,-z'
'-x+1/2,y+1/2,-z'
'x+1/2,-y+1/2,z'
loop_
_atom_site_label
_atom_site_fract_x
_atom_site_fract_y
_atom_site_fract_z
_atom_site_occupancy
La1 0.000 0.000 0.000 1
La2 0.000 0.333 0.000 1
Dy1 0.000 0.500 0.500 1
Y1 0.248 0.000 0.744 1
Y2 0.248 0.333 0.744 1
Ho1 0.000 0.167 0.500 1
```

No. 11
Li2AlIN | PBE-GGA | relaxed

Properties
As for the total energy: -3.600 eV/atom. As for the energy relative to the elements, uncorrected: -0.11 eV/atom. Its density of states at the Fermi level is 1.30 states/eV per cell. The magnetization is 0.00 μB per cell. Its calculated density is 2.6 g/cm3. As for the volume: 115 Å³ per cell.

Geometry as CIF:
```
data_Li2AlIN
_chemical_formula_sum 'Li2 Al1 I1 N1'
_cell_length_a 5.678
_cell_length_b 5.678
_cell_length_c 3.568
_cell_angle_alpha 90.00
_cell_angle_beta 90.00
_cell_angle_gamma 90.00
_symmetry_space_group_name_H-M 'P 4/m m m'
_symmetry_Int_Tables_number 123
_symmetry_space_group_name_Hall '-P 4 2'
loop_
_atom_site_label
_atom_site_fract_x
_atom_site_fract_y
_atom_site_fract_z
_atom_site_occupancy
Li1 0.000 0.500 0.000 1
Al1 0.000 0.000 0.000 1
I1 0.500 0.500 0.500 1
N1 0.000 0.000 0.500 1
```

No. 12
Sr2IrAu | PBE-GGA | relaxed

Properties
As for the total energy: -3.897 eV/atom. Its density of states at the Fermi level is 5.99 states/eV per cell. The calculation puts the formation energy at -0.02 eV/atom. The magnetization is 0.00 μB per cell. Its calculated density is 9.8 g/cm3. As for the volume: 383 Å³ per cell.

Geometry as CIF:
```
data_Sr2IrAu
_chemical_formula_sum 'Sr8 Ir4 Au4'
_cell_length_a 7.260
_cell_length_b 7.260
_cell_length_c 7.260
_cell_angle_alpha 90.00
_cell_angle_beta 90.00
_cell_angle_gamma 90.00
_symmetry_space_group_name_H-M 'F -4 3 m'
_symmetry_Int_Tables_number 216
_symmetry_space_group_name_Hall 'F -4 2 3'
loop_
_atom_site_label
_atom_site_fract_x
_atom_site_fract_y
_atom_site_fract_z
_atom_site_occupancy
Sr1 0.000 0.000 0.000 1
Sr2 0.250 0.250 0.250 1
Ir1 0.250 0.250 0.750 1
Au1 0.000 0.000 0.500 1
```